Compound: Si2NiPb
Source: the Alexandria database
Functional: PBE
Structure: optimized geometry

```
Si2NiPb
1.0
-2.173 2.173 3.743
2.173 -2.173 3.743
2.173 2.173 -3.743
Si Ni Pb
2 1 1
direct
0.000 0.000 0.000 Si
0.750 0.250 0.500 Si
0.250 0.750 0.500 Ni
0.500 0.500 0.000 Pb
```

Summary:
Uncorrected formation energy, eV per formula unit: 2.28
Symmetry: No. 119
N(E_F), states/eV per cell: 2.20
Magnetic moment, μB per formula unit: 0.00

Compound: SiNi3Pb
Source: the Alexandria database
Functional: PBE
Structure: optimized geometry

```
SiNi3Pb
1.0
4.749 0.000 0.000
0.000 4.749 0.000
0.000 0.000 4.749
Si Ni Pb
1 3 1
direct
0.000 0.000 0.000 Si
0.000 0.500 0.500 Ni
0.500 0.000 0.500 Ni
0.500 0.500 0.000 Ni
0.500 0.500 0.500 Pb
```

Summary:
Uncorrected formation energy, eV per formula unit: 7.01
Symmetry: No. 221
N(E_F), states/eV per cell: 4.03
Magnetic moment, μB per formula unit: 0.00
Polymorph energy (0 for the lowest one), meV per atom: 1205

- Which of these has the highest uncorrected formation energy?
  SiNi3Pb

Please write out number 1 again, unchanged.
Compound: Si2NiPb
Source: the Alexandria database
Functional: PBE
Structure: optimized geometry

```
Si2NiPb
1.0
-2.173 2.173 3.743
2.173 -2.173 3.743
2.173 2.173 -3.743
Si Ni Pb
2 1 1
direct
0.000 0.000 0.000 Si
0.750 0.250 0.500 Si
0.250 0.750 0.500 Ni
0.500 0.500 0.000 Pb
```

Summary:
Uncorrected formation energy, eV per formula unit: 2.28
Symmetry: No. 119
N(E_F), states/eV per cell: 2.20
Magnetic moment, μB per formula unit: 0.00

- magnetic moment of number 2 (SiNi3Pb)?
  0.00 μB per formula unit

- What is the N(E_F) in the second record?
  4.03 states/eV per cell